(1)
Below is KAlCd2S4 after structural relaxation, with properties calculated at the PBE-GGA level.

Unit cell a=9.2259 b=9.2555 c=9.5763 alpha=90.00 beta=90.00 gamma=90.00
Space group Fmm2 (No. 42)
Symmetry-distinct sites (fractional):
K  0.0000  0.0000  0.0000 (multiplicity 4)
Al  0.0000  0.0000  0.5023 (multiplicity 4)
Cd  0.2500  0.2500  0.2520 (multiplicity 8)
S  0.0000  0.2021  0.3700 (multiplicity 8)
S  0.2027  0.0000  0.6346 (multiplicity 8)

Output
E_form (uncorrected) = -0.911 eV/atom
magnetization = 0.000 μB/atom

=====

(2)
Below is Sr2VHPd after structural relaxation, with properties calculated at the PBE-GGA level.

Unit cell a=5.2951 b=5.2951 c=3.9674 alpha=90.00 beta=90.00 gamma=90.00
Space group P4/mmm (No. 123)
Symmetry-distinct sites (fractional):
Sr  0.0000  0.5000  0.0000 (multiplicity 2)
V  0.0000  0.0000  0.5000 (multiplicity 1)
H  0.0000  0.0000  0.0000 (multiplicity 1)
Pd  0.5000  0.5000  0.5000 (multiplicity 1)

Output
magnetization = 0.766 μB/atom
E_tot = -4.19 eV per atom

=====

(3)
Below is Na3Li2AlF9 after structural relaxation, with properties calculated at the PBE-GGA level.

Unit cell a=5.3540 b=5.3540 c=6.8133 alpha=90.00 beta=90.00 gamma=120.00
Space group P-3m1 (No. 164)
Symmetry-distinct sites (fractional):
Na  0.0000  0.0000  0.0000 (multiplicity 1)
Na  0.3333  0.6667  0.6989 (multiplicity 2)
Li  0.3333  0.6667  0.1855 (multiplicity 2)
Al  0.0000  0.0000  0.5000 (multiplicity 1)
F  0.0000  0.5000  0.0000 (multiplicity 3)
F  0.1586  0.3172  0.3443 (multiplicity 6)

Output
E_form (uncorrected) = -2.825 eV/atom
magnetization = 0.070 μB/atom

=====

(4)
Below is LaMg3Zn after structural relaxation, with properties calculated at the PBE-GGA level.

Unit cell a=5.9481 b=6.0281 c=7.5298 alpha=90.00 beta=112.73 gamma=90.00
Space group P2_1/m (No. 11)
Symmetry-distinct sites (fractional):
La  0.2121  0.2500  0.1256 (multiplicity 2)
Mg  0.2113  0.0057  0.6952 (multiplicity 4)
Mg  0.3326  0.7500  0.3918 (multiplicity 2)
Zn  0.3713  0.7500  0.0392 (multiplicity 2)

Output
magnetization = 0.000 μB/atom
energy above the lowest structure with this stoichiometry = 0 meV per atom
energy relative to the elements = -12 kJ per mole of atoms

=====

(5)
Below is K2GeAu2 after structural relaxation, with properties calculated at the PBE-GGA level.

Unit cell a=7.0442 b=7.0442 c=5.4680 alpha=90.00 beta=90.00 gamma=90.00
Space group P4/mbm (No. 127)
Symmetry-distinct sites (fractional):
K  0.1723  0.3277  0.0000 (multiplicity 4)
Ge  0.0000  0.0000  0.5000 (multiplicity 2)
Au  0.1460  0.6460  0.5000 (multiplicity 4)

Output
magnetization = 0.000 μB/atom
energy above the lowest structure with this stoichiometry = 82 meV per atom
energy relative to the elements = -15 kJ per mole of atoms

=====

(6)
Below is GaNi2SnRh after structural relaxation, with properties calculated at the PBE-GGA level.

Unit cell a=4.6638 b=4.6638 c=4.9629 alpha=90.00 beta=90.00 gamma=90.00
Space group P4/mmm (No. 123)
Symmetry-distinct sites (fractional):
Ga  0.0000  0.0000  0.0000 (multiplicity 1)
Ni  0.0000  0.5000  0.5000 (multiplicity 2)
Sn  0.5000  0.5000  0.0000 (multiplicity 1)
Rh  0.5000  0.5000  0.5000 (multiplicity 1)

Output
magnetization = 0.440 μB/atom
energy relative to the elements = 72 kJ per mole of atoms

=====

(7)
Below is LaCoSe2 after structural relaxation, with properties calculated at the PBE-GGA level.

Unit cell a=7.0135 b=7.0135 c=7.0135 alpha=90.00 beta=90.00 gamma=90.00
Space group Fm-3m (No. 225)
Symmetry-distinct sites (fractional):
La  0.0000  0.0000  0.0000 (multiplicity 4)
Co  0.0000  0.0000  0.5000 (multiplicity 4)
Se  0.2500  0.2500  0.2500 (multiplicity 8)

Output
E_form (uncorrected) = -0.763 eV/atom
magnetization = 0.500 μB/atom
energy above the lowest structure with this stoichiometry = 277 meV per atom

=====

(8)
Below is W3Cl after structural relaxation, with properties calculated at the PBE-GGA level.

Unit cell a=2.8629 b=2.8629 c=9.1618 alpha=90.00 beta=90.00 gamma=120.00
Space group P-6m2 (No. 187)
Symmetry-distinct sites (fractional):
W  0.0000  0.0000  0.0000 (multiplicity 1)
W  0.6667  0.3333  0.2572 (multiplicity 2)
Cl  0.0000  0.0000  0.5000 (multiplicity 1)

Output
E_form (uncorrected) = 0.630 eV/atom
magnetization = 0.000 μB/atom
energy above the lowest structure with this stoichiometry = 57 meV per atom

=====

(9)
Below is Ce2SiTc after structural relaxation, with properties calculated at the PBE-GGA level.

Unit cell a=3.1085 b=3.1085 c=29.6487 alpha=90.00 beta=90.00 gamma=120.00
Space group R-3m (No. 166, hexagonal axes)
Symmetry-distinct sites (fractional):
Ce  0.0000  0.0000  0.0830 (multiplicity 6)
Si  0.0000  0.0000  0.5000 (multiplicity 3)
Tc  0.0000  0.0000  0.0000 (multiplicity 3)

Output
E_form (uncorrected) = 0.168 eV/atom
magnetization = 0.000 μB/atom
energy above the lowest structure with this stoichiometry = 580 meV per atom

=====

(10)
Below is Ta6Nb3V after structural relaxation, with properties calculated at the PBE-GGA level.

Unit cell a=8.0826 b=4.6530 c=9.8635 alpha=90.00 beta=105.92 gamma=90.00
Space group P2_1/m (No. 11)
Symmetry-distinct sites (fractional):
Ta  0.0490  0.2500  0.3998 (multiplicity 2)
Ta  0.1532  0.7500  0.1962 (multiplicity 2)
Ta  0.2616  0.2500  0.9990 (multiplicity 2)
Ta  0.3507  0.2500  0.2975 (multiplicity 2)
Ta  0.3570  0.7500  0.8096 (multiplicity 2)
Ta  0.4497  0.2500  0.6059 (multiplicity 2)
Nb  0.0496  0.7500  0.9011 (multiplicity 2)
Nb  0.1519  0.2500  0.7017 (multiplicity 2)
Nb  0.2537  0.7500  0.4988 (multiplicity 2)
V  0.4492  0.7500  0.0996 (multiplicity 2)

Output
magnetization = 0.000 μB/atom
energy relative to the elements = 1 kJ per mole of atoms

=====

(11)
Below is BC2 after structural relaxation, with properties calculated at the PBE-GGA level.

Unit cell a=13.4969 b=2.6041 c=4.5683 alpha=90.00 beta=106.94 gamma=90.00
Space group Cm (No. 8)
Symmetry-distinct sites (fractional):
B  0.0000  0.0000  0.0000 (multiplicity 2)
B  0.0020  0.5000  0.5027 (multiplicity 2)
B  0.2883  0.5000  0.4869 (multiplicity 2)
B  0.3383  0.5000  0.1243 (multiplicity 2)
C  0.1277  0.0000  0.1238 (multiplicity 2)
C  0.1295  0.5000  0.6265 (multiplicity 2)
C  0.1650  0.5000  0.3159 (multiplicity 2)
C  0.1673  0.0000  0.8256 (multiplicity 2)
C  0.2862  0.0000  0.9409 (multiplicity 2)
C  0.3367  0.0000  0.6771 (multiplicity 2)
C  0.4526  0.0000  0.7878 (multiplicity 2)
C  0.4533  0.5000  0.3085 (multiplicity 2)

Output
magnetization = 0.000 μB/atom
energy above the lowest structure with this stoichiometry = 107 meV per atom
energy relative to the elements = 34 kJ per mole of atoms

=====

(12)
Below is YHoCo after structural relaxation, with properties calculated at the PBE-GGA level.

Unit cell a=3.8531 b=3.8531 c=6.2072 alpha=90.00 beta=90.00 gamma=120.00
Space group P3m1 (No. 156)
Symmetry-distinct sites (fractional):
Y  0.0000  0.0000  0.0000 (multiplicity 1)
Ho  0.3333  0.6667  0.4657 (multiplicity 1)
Co  0.6667  0.3333  0.2368 (multiplicity 1)

Output
magnetization = 0.000 μB/atom
energy above the lowest structure with this stoichiometry = 95 meV per atom
energy relative to the elements = -4 kJ per mole of atoms